(1)
Compound: ZnPtI2O
Source: Alexandria
Functional: PBE-GGA
Structure: optimized geometry

As for the formation energy from raw total energies: 0.323 eV per atom. Its energy above the most stable polymorph in this dataset is 0.244 eV/atom.

abc: 5.6706 5.6706 3.5338
angles: 90.00 90.00 90.00
Closest atoms and distances in Å follow each position.
Sites, in units of the cell vectors:
1 O 0.0000 0.0000 0.5000  2 Zn 1.77
2 Zn 0.0000 0.0000 0.0000  2 O 1.77
3 Pt 0.5000 0.5000 0.5000  8 I 3.34, 2 Pt 3.53
4 I 0.0000 0.5000 0.0000  2 Zn 2.84
5 I 0.5000 0.0000 0.0000  2 Zn 2.84

(2)
Compound: Mg2NiB2
Source: Alexandria
Functional: PBE-GGA
Structure: optimized geometry

Its energy relative to the elements is 8 meV per atom. Its energy above the most stable polymorph in this dataset is 0.000 eV/atom.

abc: 5.6072 5.6072 3.6064
angles: 90.00 90.00 90.00
Closest atoms and distances in Å follow each position.
Sites, in units of the cell vectors:
1 B 0.3953 0.8953 0.0000  1 B 1.66
2 B 0.8953 0.6047 0.0000  1 B 1.66
3 B 0.1047 0.3953 0.0000  1 B 1.66
4 B 0.6047 0.1047 0.0000  1 B 1.66
5 Mg 0.3149 0.1851 0.5000  6 B 2.46-2.47, 4 Ni 2.73
6 Mg 0.1851 0.6851 0.5000  6 B 2.46-2.47, 4 Ni 2.73
7 Mg 0.8149 0.3149 0.5000  6 B 2.46-2.47, 4 Ni 2.73
8 Mg 0.6851 0.8149 0.5000  6 B 2.46-2.47, 4 Ni 2.73
9 Ni 0.5000 0.5000 0.0000  4 B 2.29
10 Ni 0.0000 0.0000 0.0000  4 B 2.29

(3)
Compound: Tb3PrTm5
Source: Alexandria
Functional: PBE-GGA
Structure: optimized geometry

Its energy relative to the elements is 339 meV per atom. Its energy above the most stable polymorph in this dataset is 0.000 eV/atom.

abc: 5.9760 10.0022 11.2859
angles: 112.43 90.00 107.38
Closest atoms and distances in Å follow each position.
Sites, in units of the cell vectors:
1 Tm 0.9197 0.3419 0.5307  6 Tm 3.36-3.73, 4 Tb 3.48-3.68
2 Tm 0.0803 0.6581 0.4693  6 Tm 3.36-3.73, 4 Tb 3.48-3.68
3 Tm 0.4196 0.3245 0.6946  4 Tb 3.33-3.52, 5 Tm 3.44-3.73
4 Tm 0.5777 0.6581 0.9693  6 Tm 3.36-3.73, 4 Tb 3.48-3.68
5 Tm 0.0951 0.6755 0.8054  4 Tb 3.33-3.52, 5 Tm 3.44-3.73
6 Tm 0.4047 0.0000 0.7500  2 Pr 2.95-3.02
7 Tm 0.5953 0.0000 0.2500  2 Pr 2.95-3.02
8 Tm 0.4223 0.3419 0.0307  6 Tm 3.36-3.73, 4 Tb 3.48-3.68
9 Tm 0.9049 0.3245 0.1946  4 Tb 3.33-3.52, 5 Tm 3.44-3.73
10 Tm 0.5804 0.6755 0.3054  4 Tb 3.33-3.52, 5 Tm 3.44-3.73
11 Tb 0.9445 0.3588 0.8620  1 Tb 3.21, 1 Pr 3.24, 4 Tm 3.33-3.52
12 Tb 0.4143 0.3588 0.3620  1 Tb 3.21, 1 Pr 3.24, 4 Tm 3.33-3.52
13 Tb 0.0000 0.0000 0.0000  2 Pr 2.89
14 Tb 0.5857 0.6412 0.6380  1 Tb 3.21, 1 Pr 3.24, 4 Tm 3.33-3.52
15 Tb 0.0555 0.6412 0.1380  1 Tb 3.21, 1 Pr 3.24, 4 Tm 3.33-3.52
16 Tb 0.0000 0.0000 0.5000  2 Pr 2.89
17 Pr 0.1009 0.0000 0.2500  2 Tb 2.89, 2 Tm 2.95-3.02
18 Pr 0.8991 0.0000 0.7500  2 Tb 2.89, 2 Tm 2.95-3.02

(4)
Compound: CsYCuTe2
Source: Alexandria
Functional: PBE-GGA
Structure: optimized geometry

As for the formation energy from raw total energies: -0.777 eV per atom.

abc: 4.5595 9.0759 8.9135
angles: 95.31 90.00 90.00
Closest atoms and distances in Å follow each position.
Sites, in units of the cell vectors:
1 Y 0.4964 0.0000 0.2500  4 Te 3.05-3.06, 4 Cu 3.18-3.20
2 Y 0.5036 0.0000 0.7500  4 Te 3.05-3.06, 4 Cu 3.18-3.20
3 Cs 0.1277 0.5000 0.7500  6 Te 3.81-3.91
4 Cs 0.8723 0.5000 0.2500  6 Te 3.81-3.91
5 Te 0.3548 0.7808 0.4801  1 Cu 2.56
6 Te 0.3548 0.2192 0.0199  1 Cu 2.56
7 Te 0.6452 0.7808 0.9801  1 Cu 2.56
8 Te 0.6452 0.2192 0.5199  1 Cu 2.56
9 Cu 0.0000 0.0000 0.5000  2 Te 2.56
10 Cu 0.0000 0.0000 0.0000  2 Te 2.56

(5)
Compound: Ti2Ni2Pd
Source: Alexandria
Functional: PBE-GGA
Structure: optimized geometry

Its energy relative to the elements is -177 meV per atom. Its energy above the most stable polymorph in this dataset is 0.316 eV/atom.

abc: 3.6782 3.6781 5.7889
angles: 90.01 90.01 105.45
Closest atoms and distances in Å follow each position.
Sites, in units of the cell vectors:
1 Ni 0.1886 0.8114 0.5000  3 Ni 2.21-2.34, 2 Ti 2.32
2 Ni 0.8114 0.1886 0.5000  3 Ni 2.21-2.34, 2 Ti 2.32
3 Ti 0.4998 0.4998 0.7491  2 Ni 2.32
4 Ti 0.5002 0.5002 0.2509  2 Ni 2.32
5 Pd 0.0000 0.0000 0.0000  4 Ti 2.66

(6)
Compound: Ba3Sb5S12
Source: Alexandria
Functional: PBE-GGA
Structure: optimized geometry

As for the formation energy from raw total energies: -0.738 eV per atom.

abc: 14.5924 14.5924 14.5924
angles: 109.47 109.47 109.47
Closest atoms and distances in Å follow each position.
Sites, in units of the cell vectors:
1 S 0.9758 0.3810 0.2971  2 Sb 2.51-2.72
2 S 0.4052 0.0242 0.3213  2 Sb 2.51-2.72
3 S 0.0948 0.1787 0.4758  2 Sb 2.51-2.72
4 S 0.1787 0.0948 0.9758  2 Sb 2.51-2.72
5 S 0.9758 0.5948 0.1787  2 Sb 2.51-2.72
6 S 0.5839 0.8810 0.4052  2 Sb 2.51-2.72
7 S 0.9052 0.8213 0.5242  2 Sb 2.51-2.72
8 S 0.4758 0.7971 0.8810  2 Sb 2.51-2.72
9 S 0.7971 0.4758 0.3810  2 Sb 2.51-2.72
10 S 0.8213 0.9161 0.2971  2 Sb 2.51-2.72
11 S 0.8810 0.2971 0.4758  2 Sb 2.51-2.72
12 S 0.7029 0.5839 0.1787  2 Sb 2.51-2.72
13 S 0.4161 0.1190 0.5948  2 Sb 2.51-2.72
14 S 0.6787 0.4758 0.5948  2 Sb 2.51-2.72
15 S 0.7029 0.1190 0.0242  2 Sb 2.51-2.72
16 S 0.0839 0.1787 0.2029  2 Sb 2.51-2.72
17 S 0.4758 0.6787 0.0948  2 Sb 2.51-2.72
18 S 0.6190 0.5948 0.9161  2 Sb 2.51-2.72
19 S 0.1787 0.0839 0.7029  2 Sb 2.51-2.72
20 S 0.9052 0.0839 0.8810  2 Sb 2.51-2.72
21 S 0.2971 0.4161 0.8213  2 Sb 2.51-2.72
22 S 0.2029 0.6787 0.0839  2 Sb 2.51-2.72
23 S 0.0242 0.6190 0.7029  2 Sb 2.51-2.72
24 S 0.9161 0.8213 0.7971  2 Sb 2.51-2.72
25 S 0.8213 0.9052 0.0242  2 Sb 2.51-2.72
26 S 0.3810 0.4052 0.0839  2 Sb 2.51-2.72
27 S 0.6787 0.2029 0.5839  2 Sb 2.51-2.72
28 S 0.7971 0.3213 0.9161  2 Sb 2.51-2.72
29 S 0.8810 0.5839 0.9052  2 Sb 2.51-2.72
30 S 0.2971 0.8810 0.9758  2 Sb 2.51-2.72
31 S 0.5242 0.3213 0.9052  2 Sb 2.51-2.72
32 S 0.3213 0.7971 0.4161  2 Sb 2.51-2.72
33 S 0.4052 0.3810 0.5839  2 Sb 2.51-2.72
34 S 0.1190 0.4161 0.0948  2 Sb 2.51-2.72
35 S 0.0948 0.9161 0.1190  2 Sb 2.51-2.72
36 S 0.5948 0.6190 0.4161  2 Sb 2.51-2.72
37 S 0.3213 0.5242 0.4052  2 Sb 2.51-2.72
38 S 0.0242 0.4052 0.8213  2 Sb 2.51-2.72
39 S 0.1190 0.7029 0.5242  2 Sb 2.51-2.72
40 S 0.5948 0.9758 0.6787  2 Sb 2.51-2.72
41 S 0.5242 0.2029 0.1190  2 Sb 2.51-2.72
42 S 0.6190 0.0242 0.2029  2 Sb 2.51-2.72
43 S 0.2029 0.5242 0.6190  2 Sb 2.51-2.72
44 S 0.3810 0.9758 0.7971  2 Sb 2.51-2.72
45 S 0.5839 0.7029 0.6787  2 Sb 2.51-2.72
46 S 0.0839 0.9052 0.3810  2 Sb 2.51-2.72
47 S 0.9161 0.0948 0.6190  2 Sb 2.51-2.72
48 S 0.4161 0.2971 0.3213  2 Sb 2.51-2.72
49 Ba 0.2500 0.6250 0.8750  8 S 3.25-3.36
50 Ba 0.7500 0.8750 0.6250  8 S 3.25-3.36
51 Ba 0.8750 0.1250 0.2500  8 S 3.25-3.36
52 Ba 0.6250 0.2500 0.3750  8 S 3.25-3.36
53 Ba 0.1250 0.8750 0.7500  8 S 3.25-3.36
54 Ba 0.3750 0.7500 0.6250  8 S 3.25-3.36
55 Ba 0.2500 0.1250 0.3750  8 S 3.25-3.36
56 Ba 0.8750 0.7500 0.1250  8 S 3.25-3.36
57 Ba 0.1250 0.2500 0.8750  8 S 3.25-3.36
58 Ba 0.6250 0.3750 0.7500  8 S 3.25-3.36
59 Ba 0.7500 0.3750 0.1250  8 S 3.25-3.36
60 Ba 0.3750 0.6250 0.2500  8 S 3.25-3.36
61 Sb 0.2500 0.8750 0.1250  4 S 2.51
62 Sb 0.6250 0.8750 0.2500  4 S 2.51
63 Sb 0.5000 0.0000 0.5000  6 S 2.72
64 Sb 0.5000 0.0000 0.0000  6 S 2.72
65 Sb 0.7500 0.6250 0.3750  4 S 2.51
66 Sb 0.6250 0.7500 0.8750  4 S 2.51
67 Sb 0.1250 0.3750 0.2500  4 S 2.51
68 Sb 0.3750 0.1250 0.7500  4 S 2.51
69 Sb 0.5000 0.5000 0.5000  6 S 2.72
70 Sb 0.0000 0.5000 0.0000  6 S 2.72
71 Sb 0.7500 0.1250 0.8750  4 S 2.51
72 Sb 0.0000 0.5000 0.5000  6 S 2.72
73 Sb 0.2500 0.3750 0.6250  4 S 2.51
74 Sb 0.3750 0.2500 0.1250  4 S 2.51
75 Sb 0.0000 0.0000 0.5000  6 S 2.72
76 Sb 0.8750 0.2500 0.6250  4 S 2.51
77 Sb 0.1250 0.7500 0.3750  4 S 2.51
78 Sb 0.8750 0.6250 0.7500  4 S 2.51
79 Sb 0.0000 0.0000 0.0000  6 S 2.72
80 Sb 0.5000 0.5000 0.0000  6 S 2.72

(7)
Compound: K3P4Pt2
Source: Alexandria
Functional: PBE-GGA
Structure: optimized geometry

Its energy relative to the elements is -443 meV per atom.

abc: 6.5283 6.5283 15.2844
angles: 90.00 90.00 124.60
Closest atoms and distances in Å follow each position.
Sites, in units of the cell vectors:
1 P 0.0730 0.2868 0.1130  1 P 2.18, 2 Pt 2.38-2.39
2 P 0.7132 0.9270 0.3870  1 P 2.18, 2 Pt 2.38-2.39
3 P 0.7132 0.9270 0.1130  1 P 2.18, 2 Pt 2.38-2.39
4 P 0.2868 0.0730 0.8870  1 P 2.18, 2 Pt 2.38-2.39
5 P 0.0730 0.2868 0.3870  1 P 2.18, 2 Pt 2.38-2.39
6 P 0.9270 0.7132 0.6130  1 P 2.18, 2 Pt 2.38-2.39
7 P 0.9270 0.7132 0.8870  1 P 2.18, 2 Pt 2.38-2.39
8 P 0.2868 0.0730 0.6130  1 P 2.18, 2 Pt 2.38-2.39
9 Pt 0.0000 0.0000 0.0000  4 P 2.39
10 Pt 0.9211 0.0789 0.2500  4 P 2.38
11 Pt 0.0000 0.0000 0.5000  4 P 2.39
12 Pt 0.0789 0.9211 0.7500  4 P 2.38
13 K 0.3704 0.6296 0.5684  6 P 3.31-3.42, 2 Pt 3.54, 1 K 3.65
14 K 0.6296 0.3704 0.4316  6 P 3.31-3.42, 2 Pt 3.54, 1 K 3.65
15 K 0.6296 0.3704 0.0684  6 P 3.31-3.42, 2 Pt 3.54, 1 K 3.65
16 K 0.7582 0.2418 0.7500  4 P 3.35, 3 Pt 3.67-3.71
17 K 0.2418 0.7582 0.2500  4 P 3.35, 3 Pt 3.67-3.71
18 K 0.3704 0.6296 0.9316  6 P 3.31-3.42, 2 Pt 3.54, 1 K 3.65

(8)
Compound: PmAlGa4Cu2
Source: Alexandria
Functional: PBE-GGA
Structure: optimized geometry

Its energy relative to the elements is -203 meV per atom.

abc: 4.3245 4.3245 9.1500
angles: 76.33 76.33 60.00
Closest atoms and distances in Å follow each position.
Sites, in units of the cell vectors:
1 Cu 0.2406 0.2406 0.2783  6 Ga 2.60-2.63
2 Cu 0.7594 0.7594 0.7217  6 Ga 2.60-2.63
3 Ga 0.1243 0.1243 0.6271  3 Cu 2.63, 3 Al 2.74, 3 Ga 2.94
4 Ga 0.8757 0.8757 0.3729  3 Cu 2.63, 3 Al 2.74, 3 Ga 2.94
5 Ga 0.6011 0.6011 0.1968  3 Cu 2.60, 1 Al 2.67
6 Ga 0.3989 0.3989 0.8032  3 Cu 2.60, 1 Al 2.67
7 Al 0.5000 0.5000 0.5000  8 Ga 2.67-2.74
8 Pm 0.0000 0.0000 0.0000  8 Ga 3.04-3.28

(9)
Compound: Ba2LiMn
Source: Alexandria
Functional: PBE-GGA
Structure: optimized geometry

Its energy relative to the elements is 368 meV per atom. Its energy above the most stable polymorph in this dataset is 0.024 eV/atom.

abc: 5.0928 4.7668 6.9632
angles: 70.01 90.00 90.00
Closest atoms and distances in Å follow each position.
Sites, in units of the cell vectors:
1 Ba 0.5000 0.2687 0.3371  3 Mn 3.57-3.89, 4 Li 3.67
2 Ba 0.0000 0.9827 0.9096  3 Li 3.54-3.93, 4 Mn 3.65-3.66
3 Mn 0.5000 0.5666 0.7426  2 Li 2.96
4 Li 0.0000 0.6820 0.5106  2 Mn 2.96

(10)
Compound: Rb3SmNp3Te8
Source: Alexandria
Functional: PBE-GGA
Structure: optimized geometry

As for the formation energy from raw total energies: -0.958 eV per atom.

abc: 9.0839 9.0786 10.1113
angles: 116.54 90.00 120.02
Closest atoms and distances in Å follow each position.
Sites, in units of the cell vectors:
1 Te 0.2359 0.9644 0.6995  2 Np 3.12-3.13, 1 Sm 3.17
2 Te 0.2664 0.5329 0.3001  3 Np 3.14-3.15
3 Te 0.7336 0.4671 0.6999  3 Np 3.14-3.15
4 Te 0.2355 0.4710 0.6983  2 Np 3.11, 1 Sm 3.17
5 Te 0.7641 0.0356 0.3005  2 Np 3.12-3.13, 1 Sm 3.17
6 Te 0.2715 0.0356 0.3005  2 Np 3.12-3.13, 1 Sm 3.17
7 Te 0.7285 0.9644 0.6995  2 Np 3.12-3.13, 1 Sm 3.17
8 Te 0.7645 0.5290 0.3017  2 Np 3.11, 1 Sm 3.17
9 Rb 0.5000 0.5000 0.0000  6 Te 3.69-3.71
10 Rb 0.0000 0.5000 0.0000  6 Te 3.69-3.71
11 Rb 0.0000 0.0000 0.0000  6 Te 3.69-3.71
12 Np 0.5000 0.5000 0.5000  6 Te 3.11-3.14
13 Np 0.5000 0.0000 0.5000  6 Te 3.12-3.15
14 Np 0.0000 0.5000 0.5000  6 Te 3.11-3.14
15 Sm 0.0000 0.0000 0.5000  6 Te 3.17

(11)
Compound: Zr2NbVN
Source: Alexandria
Functional: PBE-GGA
Structure: optimized geometry

As for the formation energy from raw total energies: -0.593 eV per atom.

abc: 4.6321 4.6321 3.8419
angles: 90.00 90.00 90.00
Closest atoms and distances in Å follow each position.
Sites, in units of the cell vectors:
1 Zr 0.0000 0.5000 0.0000  2 N 2.32
2 Zr 0.5000 0.0000 0.0000  2 N 2.32
3 V 0.0000 0.0000 0.5000  2 N 1.92
4 Nb 0.5000 0.5000 0.5000  8 Zr 3.01, 4 V 3.28
5 N 0.0000 0.0000 0.0000  2 V 1.92

(12)
Compound: BePt
Source: Alexandria
Functional: PBE-GGA
Structure: optimized geometry

Its energy relative to the elements is -567 meV per atom.

abc: 2.8496 6.7310 5.7959
angles: 90.00 119.19 90.00
Closest atoms and distances in Å follow each position.
Sites, in units of the cell vectors:
1 Be 0.3011 0.5000 0.6360  6 Pt 2.40-2.42, 2 Be 2.57
2 Be 0.2231 0.5000 0.0588  6 Pt 2.34-2.36, 2 Be 2.57
3 Be 0.3011 0.0000 0.1360  6 Pt 2.40-2.42, 2 Be 2.57
4 Be 0.2231 0.0000 0.5588  6 Pt 2.34-2.36, 2 Be 2.57
5 Pt 0.9343 0.2284 0.7709  6 Be 2.34-2.42
6 Pt 0.9343 0.2716 0.2709  6 Be 2.34-2.42
7 Pt 0.9343 0.7716 0.7709  6 Be 2.34-2.42
8 Pt 0.9343 0.7284 0.2709  6 Be 2.34-2.42